Y2Fe2B2CN | PBE | relaxed

Cell and atoms, written as CIF:
```
data_Y2Fe2B2CN
_symmetry_space_group_name_H-M 'P 4 m m'
_symmetry_Int_Tables_number 99
_symmetry_space_group_name_Hall 'P 4 -2'
_cell_length_a 3.490
_cell_length_b 3.490
_cell_length_c 7.829
_cell_angle_alpha 90.00
_cell_angle_beta 90.00
_cell_angle_gamma 90.00
loop_
_atom_site_label
_atom_site_fract_x
_atom_site_fract_y
_atom_site_fract_z
Y1 0.000 0.000 0.000
Y2 0.500 0.500 0.326
Fe1 0.000 0.500 0.657
B1 0.000 0.000 0.492
B2 0.500 0.500 0.824
C1 0.500 0.500 0.016
N1 0.000 0.000 0.306
```

## Properties
- total magnetic moment (μB/f.u.) = 2.96
- energy (eV per atom) = -8.24